# PBE-GGA Mn3HOs, relaxed
data_Mn3HOs
_symmetry_space_group_name_H-M 'P 1'
_symmetry_Int_Tables_number 1
_symmetry_space_group_name_Hall 'P 1'
_cell_length_a 6.640
_cell_length_b 6.640
_cell_length_c 4.318
_cell_angle_alpha 90.00
_cell_angle_beta 90.00
_cell_angle_gamma 138.64
loop_
_atom_site_label
_atom_site_fract_x
_atom_site_fract_y
_atom_site_fract_z
Mn1 0.000 0.000 0.000
Mn2 0.000 0.000 0.500
Mn3 0.119 0.413 0.750
Mn4 0.413 0.119 0.250
Mn5 0.587 0.881 0.750
Mn6 0.881 0.587 0.250
H1 0.457 0.543 0.750
H2 0.543 0.457 0.250
Os1 0.181 0.819 0.750
Os2 0.819 0.181 0.250
# Energy above the most stable polymorph in this dataset = 0.816 eV per atom
# Crystal system = orthorhombic
# Spin magnetization = 0.01 μB per atom
# Total energy = -7.643 eV per atom